Entry 1:
The following is a DFT calculation (PBE-GGA) of a relaxed structure of HfScCo.

Lattice parameters (Å, degrees): 4.8364 4.1897 5.9571 90.00 106.77 90.00
Fractional coordinates of all 6 atoms:
Hf 0.0812 0.2500 0.3022
Hf 0.9188 0.7500 0.6978
Sc 0.4718 0.2500 0.8157
Sc 0.5282 0.7500 0.1843
Co 0.3534 0.7500 0.5575
Co 0.6466 0.2500 0.4425

## Properties
* calculated formation energy: -202 meV per atom
* V: 116 Å³ per cell
* relative energy among the computed polymorphs: 0.077 eV per atom
* space-group type: P2_1/m, No. 11
* final energy: -7.998 eV/atom


Entry 2:
The following is a DFT calculation (PBE-GGA) of a relaxed structure of HfSc6Co3.

Lattice parameters (Å, degrees): 7.6986 7.6986 6.4561 90.00 90.00 89.68
Fractional coordinates of all 20 atoms:
Hf 0.1944 0.8056 0.5000
Hf 0.8056 0.1944 0.0000
Sc 0.0690 0.5122 0.2342
Sc 0.1982 0.2096 0.9586
Sc 0.2043 0.7957 0.9474
Sc 0.2096 0.1982 0.4586
Sc 0.4878 0.9310 0.2342
Sc 0.4900 0.5100 0.4219
Sc 0.5100 0.4900 0.9219
Sc 0.5122 0.0690 0.7342
Sc 0.7904 0.8018 0.9586
Sc 0.7957 0.2043 0.4474
Sc 0.8018 0.7904 0.4586
Sc 0.9310 0.4878 0.7342
Co 0.0151 0.9849 0.2192
Co 0.2322 0.5017 0.6628
Co 0.4983 0.7678 0.6628
Co 0.5017 0.2322 0.1628
Co 0.7678 0.4983 0.1628
Co 0.9849 0.0151 0.7192

## Properties
* calculated formation energy: -148 meV per atom
* V: 383 Å³ per cell
* space-group type: Cmc2_1, No. 36
* final energy: -7.074 eV/atom


Entry 3:
The following is a DFT calculation (PBE-GGA) of a relaxed structure of HfSc2Co3.

Lattice parameters (Å, degrees): 3.1282 3.1282 9.4936 90.00 90.00 90.00
Fractional coordinates of all 6 atoms:
Hf 0.0000 0.0000 0.0000
Sc 0.0000 0.0000 0.3366
Sc 0.0000 0.0000 0.6634
Co 0.5000 0.5000 0.1591
Co 0.5000 0.5000 0.5000
Co 0.5000 0.5000 0.8409

## Properties
* calculated formation energy: -400 meV per atom
* V: 93 Å³ per cell
* relative energy among the computed polymorphs: 0.000 eV per atom
* space-group type: P4/mmm, No. 123
* final energy: -7.722 eV/atom


Entry 4:
The following is a DFT calculation (PBE-GGA) of a relaxed structure of HfSc2Co.

Lattice parameters (Å, degrees): 6.0628 6.0628 6.0628 102.12 102.12 125.46
Fractional coordinates of all 8 atoms:
Hf 0.0000 0.0000 0.0000
Hf 0.7500 0.2500 0.5000
Sc 0.1941 0.1250 0.5691
Sc 0.3750 0.8059 0.9309
Sc 0.5559 0.6250 0.4309
Sc 0.8750 0.4441 0.0691
Co 0.2500 0.7500 0.5000
Co 0.5000 0.5000 0.0000

## Properties
* calculated formation energy: 122 meV per atom
* V: 161 Å³ per cell
* relative energy among the computed polymorphs: 0.329 eV per atom
* space-group type: I-42d, No. 122
* final energy: -7.308 eV/atom


Entry 5:
The following is a DFT calculation (PBE-GGA) of a relaxed structure of HfSc2Co2.

Lattice parameters (Å, degrees): 5.3897 5.3897 7.3825 102.43 102.43 58.33
Fractional coordinates of all 10 atoms:
Hf 0.1396 0.8604 0.7500
Hf 0.8604 0.1396 0.2500
Sc 0.2035 0.4991 0.3509
Sc 0.4991 0.2035 0.8509
Sc 0.5009 0.7965 0.1491
Sc 0.7965 0.5009 0.6491
Co 0.0077 0.7052 0.0012
Co 0.2948 0.9923 0.4988
Co 0.7052 0.0077 0.5012
Co 0.9923 0.2948 0.9988

## Properties
* calculated formation energy: -285 meV per atom
* V: 177 Å³ per cell
* relative energy among the computed polymorphs: 0.000 eV per atom
* space-group type: C2/c, No. 15
* final energy: -7.651 eV/atom


Entry 6:
The following is a DFT calculation (PBE-GGA) of a relaxed structure of Hf2ScCo9.

Lattice parameters (Å, degrees): 8.3725 8.3725 8.3725 33.43 33.43 33.43
Fractional coordinates of all 12 atoms:
Hf 0.1388 0.1388 0.1388
Hf 0.8612 0.8612 0.8612
Sc 0.0000 0.0000 0.0000
Co 0.0780 0.5866 0.5866
Co 0.3354 0.3354 0.3354
Co 0.4134 0.4134 0.9220
Co 0.4134 0.9220 0.4134
Co 0.5000 0.5000 0.5000
Co 0.5866 0.0780 0.5866
Co 0.5866 0.5866 0.0780
Co 0.6646 0.6646 0.6646
Co 0.9220 0.4134 0.4134

## Properties
* calculated formation energy: -280 meV per atom
* V: 159 Å³ per cell
* space-group type: R-3m, No. 166
* final energy: -7.796 eV/atom


- The lowest V belongs to which entry?
  HfSc2Co3